Entry 1:
Below is a geometry-optimized Li3Sc3PaS8 structure, with properties calculated at the PBE level.

## Properties
The raw total energy comes out at -6.18 eV/atom. The total magnetization is 0.055 μB per atom. For the energy relative to the elements, uncorrected, the calculation gives -1.699 eV/atom. The calculation puts the volume at 299.07 Å³ per cell.

a = 7.4996 Å, b = 7.4996 Å, c = 7.4996 Å
α = 60.12°, β = 60.12°, γ = 60.12°
Atoms (fractional coordinates):
Li  0.0000  0.5000  0.5000
Li  0.5000  0.0000  0.5000
Li  0.5000  0.5000  0.0000
Sc  0.0000  0.0000  0.5000
Sc  0.0000  0.5000  0.0000
Sc  0.5000  0.0000  0.0000
Pa  0.5000  0.5000  0.5000
S  0.2404  0.7510  0.7510
S  0.2467  0.2467  0.2467
S  0.2490  0.2490  0.7596
S  0.2490  0.7596  0.2490
S  0.7510  0.2404  0.7510
S  0.7510  0.7510  0.2404
S  0.7533  0.7533  0.7533
S  0.7596  0.2490  0.2490

=====

Entry 2:
Below is a geometry-optimized PaTc2B structure, with properties calculated at the PBE level.

## Properties
The raw total energy comes out at -9.11 eV/atom. The total magnetization is 0.000 μB per atom. The calculation puts the volume at 61.12 Å³ per cell.

a = 4.0241 Å, b = 4.0241 Å, c = 3.7747 Å
α = 90.00°, β = 90.00°, γ = 90.00°
Atoms (fractional coordinates):
Pa  0.0000  0.0000  0.0000
Tc  0.0000  0.5000  0.5000
Tc  0.5000  0.0000  0.5000
B  0.5000  0.5000  0.0000

=====

Entry 3:
Below is a geometry-optimized TiTl2In structure, with properties calculated at the PBE level.

## Properties
The raw total energy comes out at -3.46 eV/atom. The total magnetization is 0.566 μB per atom. The calculation puts the volume at 99.90 Å³ per cell.

a = 5.2082 Å, b = 5.2082 Å, c = 5.2082 Å
α = 60.00°, β = 60.00°, γ = 60.00°
Atoms (fractional coordinates):
Ti  0.0000  0.0000  0.0000
Tl  0.2500  0.2500  0.2500
Tl  0.7500  0.7500  0.7500
In  0.5000  0.5000  0.5000

=====

Entry 4:
Below is a geometry-optimized GaHgBiIr2 structure, with properties calculated at the PBE level.

## Properties
The raw total energy comes out at -3.49 eV/atom. The total magnetization is 0.000 μB per atom. The calculation puts the volume at 140.52 Å³ per cell.

a = 5.0671 Å, b = 5.0671 Å, c = 5.4729 Å
α = 90.00°, β = 90.00°, γ = 90.00°
Atoms (fractional coordinates):
Ga  0.0000  0.0000  0.0000
Hg  0.5000  0.5000  0.0000
Bi  0.0000  0.0000  0.5000
Ir  0.0000  0.5000  0.5000
Ir  0.5000  0.0000  0.5000

=====

Entry 5:
Below is a geometry-optimized PaHgCl6 structure, with properties calculated at the PBE level.

## Properties
The raw total energy comes out at -4.01 eV/atom. The total magnetization is 0.122 μB per atom. For the energy relative to the elements, uncorrected, the calculation gives -1.402 eV/atom. The calculation puts the volume at 312.42 Å³ per cell.

a = 7.1615 Å, b = 7.1615 Å, c = 6.6013 Å
α = 95.08°, β = 95.08°, γ = 110.89°
Atoms (fractional coordinates):
Pa  0.0000  0.0000  0.0000
Hg  0.5000  0.5000  0.0000
Cl  0.0237  0.7232  0.2026
Cl  0.2745  0.2745  0.2743
Cl  0.2768  0.9763  0.7974
Cl  0.7232  0.0237  0.2026
Cl  0.7255  0.7255  0.7257
Cl  0.9763  0.2768  0.7974

=====

Entry 6:
Below is a geometry-optimized TbMgPb3 structure, with properties calculated at the PBE level.

## Properties
The raw total energy comes out at -3.56 eV/atom. The total magnetization is 0.000 μB per atom. The calculation puts the volume at 302.50 Å³ per cell.

a = 4.8454 Å, b = 6.5860 Å, c = 9.4793 Å
α = 90.00°, β = 90.00°, γ = 90.00°
Atoms (fractional coordinates):
Tb  0.2500  0.2500  0.1012
Tb  0.7500  0.7500  0.8988
Mg  0.2500  0.7500  0.4340
Mg  0.7500  0.2500  0.5660
Pb  0.2500  0.5053  0.7126
Pb  0.2500  0.7500  0.1125
Pb  0.2500  0.9947  0.7126
Pb  0.7500  0.0053  0.2874
Pb  0.7500  0.2500  0.8875
Pb  0.7500  0.4947  0.2874

=====

Entry 7:
Below is a geometry-optimized MgTeAs2 structure, with properties calculated at the PBE level.

## Properties
The raw total energy comes out at -3.70 eV/atom. The total magnetization is 0.000 μB per atom. For the energy relative to the elements, uncorrected, the calculation gives -0.189 eV/atom. The calculation puts the volume at 97.82 Å³ per cell.

a = 5.0717 Å, b = 4.0354 Å, c = 5.0863 Å
α = 90.00°, β = 110.01°, γ = 90.00°
Atoms (fractional coordinates):
Mg  0.0000  0.0000  0.0000
Te  0.2726  0.5000  0.7592
As  0.5359  0.0000  0.4640
As  0.7124  0.5000  0.2335

=====

Entry 8:
Below is a geometry-optimized Sm12Cd6Ag structure, with properties calculated at the PBE level.

## Properties
The raw total energy comes out at -3.53 eV/atom. The total magnetization is 0.000 μB per atom. The calculation puts the volume at 547.66 Å³ per cell.

a = 8.1847 Å, b = 8.1847 Å, c = 8.1847 Å
α = 88.41°, β = 88.41°, γ = 88.41°
Atoms (fractional coordinates):
Sm  0.0291  0.9457  0.3053
Sm  0.0543  0.6947  0.9709
Sm  0.1319  0.4788  0.3529
Sm  0.3053  0.0291  0.9457
Sm  0.3529  0.1319  0.4788
Sm  0.4788  0.3529  0.1319
Sm  0.5212  0.6471  0.8681
Sm  0.6471  0.8681  0.5212
Sm  0.6947  0.9709  0.0543
Sm  0.8681  0.5212  0.6471
Sm  0.9457  0.3053  0.0291
Sm  0.9709  0.0543  0.6947
Cd  0.2386  0.3914  0.7611
Cd  0.2389  0.7614  0.6086
Cd  0.3914  0.7611  0.2386
Cd  0.6086  0.2389  0.7614
Cd  0.7611  0.2386  0.3914
Cd  0.7614  0.6086  0.2389
Ag  0.5000  0.5000  0.5000

=====

Entry 9:
Below is a geometry-optimized UTiGeO6 structure, with properties calculated at the PBE level.

## Properties
The raw total energy comes out at -8.47 eV/atom. The total magnetization is 0.000 μB per atom. For the energy relative to the elements, uncorrected, the calculation gives -2.525 eV/atom. The calculation puts the volume at 245.54 Å³ per cell.

a = 5.4483 Å, b = 5.4483 Å, c = 9.5513 Å
α = 90.00°, β = 90.00°, γ = 120.00°
Atoms (fractional coordinates):
U  0.3333  0.6667  0.2500
U  0.6667  0.3333  0.7500
Ti  0.3333  0.6667  0.7500
Ti  0.6667  0.3333  0.2500
Ge  0.0000  0.0000  0.0000
Ge  0.0000  0.0000  0.5000
O  0.0145  0.3685  0.6395
O  0.0145  0.6460  0.8605
O  0.3540  0.3685  0.8605
O  0.3540  0.9855  0.6395
O  0.3685  0.0145  0.1395
O  0.3685  0.3540  0.3605
O  0.6315  0.6460  0.6395
O  0.6315  0.9855  0.8605
O  0.6460  0.0145  0.3605
O  0.6460  0.6315  0.1395
O  0.9855  0.3540  0.1395
O  0.9855  0.6315  0.3605

=====

Entry 10:
Below is a geometry-optimized Mg2MnNbPt structure, with properties calculated at the PBE level.

## Properties
The raw total energy comes out at -5.20 eV/atom. The total magnetization is 0.662 μB per atom. The calculation puts the volume at 119.17 Å³ per cell.

a = 4.8772 Å, b = 4.8772 Å, c = 5.0098 Å
α = 90.00°, β = 90.00°, γ = 90.00°
Atoms (fractional coordinates):
Mg  0.0000  0.5000  0.0000
Mg  0.5000  0.0000  0.0000
Mn  0.0000  0.0000  0.5000
Nb  0.5000  0.5000  0.5000
Pt  0.5000  0.5000  0.0000

=====

Entry 11:
Below is a geometry-optimized IrOsPt structure, with properties calculated at the PBE level.

## Properties
The raw total energy comes out at -8.66 eV/atom. The total magnetization is 0.000 μB per atom. The calculation puts the volume at 44.45 Å³ per cell.

a = 2.7479 Å, b = 2.7479 Å, c = 6.7967 Å
α = 90.00°, β = 90.00°, γ = 120.00°
Atoms (fractional coordinates):
Ir  0.0000  0.0000  0.0000
Os  0.6667  0.3333  0.3152
Pt  0.3333  0.6667  0.6514

=====

Entry 12:
Below is a geometry-optimized Ac7Pm2Pr structure, with properties calculated at the PBE level.

## Properties
The raw total energy comes out at -3.71 eV/atom. The total magnetization is 0.059 μB per atom. The calculation puts the volume at 510.72 Å³ per cell.

a = 9.6793 Å, b = 9.6793 Å, c = 6.0998 Å
α = 90.00°, β = 90.00°, γ = 116.66°
Atoms (fractional coordinates):
Ac  0.0000  0.0000  0.0000
Ac  0.1905  0.4379  0.0000
Ac  0.2549  0.7451  0.5000
Ac  0.4379  0.1905  0.0000
Ac  0.5621  0.8095  0.0000
Ac  0.7451  0.2549  0.5000
Ac  0.8095  0.5621  0.0000
Pm  0.2006  0.7994  0.0000
Pm  0.7994  0.2006  0.0000
Pr  0.5000  0.5000  0.5000